A plane-wave DFT calculation with PBEsol was carried out for Y2TlSe after structural relaxation.

Calculated values
distance to the lowest polymorph of the same formula = 0.094 eV per atom
energy relative to the elements, uncorrected = -1.058 eV per atom
space group = Pmmm

a = 3.945 Å, b = 4.436 Å, c = 5.956 Å
α = 90.00°, β = 90.00°, γ = 90.00°
Sites, in units of the cell vectors:
1 Y 0.000 0.000 0.000
2 Y 0.500 0.500 0.500
3 Tl 0.000 0.000 0.500
4 Se 0.500 0.500 0.000